TbHg3I9 | PBE | relaxed

a b c (Å): 10.644 11.597 12.743
angles (deg): 74.96 65.32 62.68
Fractional positions:
1 Tb 0.476 0.004 0.507
2 Tb 0.012 0.504 0.007
3 I 0.803 0.984 0.711
4 I 0.729 0.754 0.047
5 I 0.179 0.668 0.829
6 I 0.176 0.097 0.709
7 I 0.429 0.786 0.444
8 I 0.880 0.426 0.882
9 I 0.942 0.301 0.210
10 I 0.470 0.254 0.547
11 I 0.748 0.400 0.585
12 I 0.547 0.801 0.710
13 I 0.267 0.900 0.085
14 I 0.092 0.580 0.530
15 I 0.324 0.168 0.329
16 I 0.812 0.926 0.382
17 I 0.342 0.286 0.944
18 I 0.018 0.597 0.209
19 I 0.797 0.080 0.030
20 I 0.502 0.484 0.211
21 Hg 0.581 0.248 0.728
22 Hg 0.811 0.566 0.671
23 Hg 0.951 0.066 0.171
24 Hg 0.444 0.748 0.228
25 Hg 0.003 0.943 0.824
26 Hg 0.230 0.443 0.324

Results
Raw formation energy (eV/atom): -0.580
Uncorrected energy (eV per atom): -2.079